(1)
VASP calculation (PBE) on an optimized crystal structure of KBa2Al.

Cell: 4.3946 4.3946 38.6050 Å, 90.00 90.00 120.00°
Space group R3m (No. 160, hexagonal axes)
Asymmetric unit:
K 0.0000 0.0000 0.0000 [3 per cell]
Ba 0.0000 0.0000 0.5384 [3 per cell]
Ba 0.0000 0.0000 0.7722 [3 per cell]
Al 0.0000 0.0000 0.2666 [3 per cell]

## Properties
As for the density: 2.63 g cm⁻³.

(2)
VASP calculation (PBE) on an optimized crystal structure of KBaAl.

Cell: 7.9750 4.6041 16.7805 Å, 90.00 90.01 90.00°
Space group Cm (No. 8)
Asymmetric unit:
K 0.0000 0.0000 0.0000 [2 per cell]
K 0.1671 0.5000 0.7668 [2 per cell]
Ba 0.3316 0.0000 0.2399 [2 per cell]
Ba 0.3317 0.0000 0.5268 [2 per cell]
Al 0.1649 0.5000 0.3838 [2 per cell]
Al 0.4983 0.5000 0.3829 [2 per cell]

## Properties
As for the density: 2.19 g cm⁻³. The value obtained for the distance to the lowest polymorph of the same formula is 0.000 eV per atom.

(3)
VASP calculation (PBE) on an optimized crystal structure of KBa2Al2.

Cell: 6.5597 6.5597 10.1637 Å, 90.00 90.00 90.00°
Space group I4/mmm (No. 139)
Asymmetric unit:
K 0.0000 0.0000 0.0000 [2 per cell]
Ba 0.0000 0.5000 0.2500 [4 per cell]
Al 0.0000 0.0000 0.3757 [4 per cell]

## Properties
As for the density: 2.79 g cm⁻³. The value obtained for the distance to the lowest polymorph of the same formula is 0.064 eV per atom.

(4)
VASP calculation (PBE) on an optimized crystal structure of KBaAl2.

Cell: 3.6759 3.8276 10.2418 Å, 90.00 90.00 90.00°
Space group Pmm2 (No. 25)
Asymmetric unit:
K 0.0000 0.0000 0.0000 [1 per cell]
Ba 0.5000 0.5000 0.5955 [1 per cell]
Al 0.0000 0.0000 0.3598 [1 per cell]
Al 0.5000 0.5000 0.2560 [1 per cell]

## Properties
As for the density: 2.65 g cm⁻³. The value obtained for the distance to the lowest polymorph of the same formula is 0.171 eV per atom.

(5)
VASP calculation (PBE) on an optimized crystal structure of KBaAl2.

Cell: 8.2030 8.2030 8.2030 Å, 90.00 90.00 90.00°
Space group Fm-3m (No. 225)
Asymmetric unit:
K 0.0000 0.0000 0.0000 [4 per cell]
Ba 0.0000 0.0000 0.5000 [4 per cell]
Al 0.2500 0.2500 0.2500 [8 per cell]

## Properties
As for the density: 2.77 g cm⁻³. The value obtained for the distance to the lowest polymorph of the same formula is 0.270 eV per atom.

(6)
VASP calculation (PBE) on an optimized crystal structure of KBa2Al.

Cell: 6.1346 6.1346 8.7621 Å, 90.00 90.00 90.00°
Space group I-4m2 (No. 119)
Asymmetric unit:
K 0.0000 0.0000 0.0000 [2 per cell]
Ba 0.0000 0.0000 0.5000 [2 per cell]
Ba 0.0000 0.5000 0.2500 [2 per cell]
Al 0.0000 0.5000 0.7500 [2 per cell]

## Properties
As for the density: 3.43 g cm⁻³.

(7)
VASP calculation (PBE) on an optimized crystal structure of KBaAl.

Cell: 5.0592 25.4243 4.6347 Å, 90.00 90.00 90.00°
Space group Cmcm (No. 63)
Asymmetric unit:
K 0.0000 0.1896 0.2500 [4 per cell]
Ba 0.0000 0.4279 0.2500 [4 per cell]
Al 0.0000 0.0258 0.2500 [4 per cell]

## Properties
As for the density: 2.27 g cm⁻³. The value obtained for the distance to the lowest polymorph of the same formula is 0.062 eV per atom.

(8)
VASP calculation (PBE) on an optimized crystal structure of KBa2Al.

Cell: 4.2799 4.2799 11.1680 Å, 90.00 90.00 90.00°
Space group P4mm (No. 99)
Asymmetric unit:
K 0.0000 0.0000 0.0000 [1 per cell]
Ba 0.0000 0.0000 0.3573 [1 per cell]
Ba 0.5000 0.5000 0.6641 [1 per cell]
Al 0.5000 0.5000 0.2029 [1 per cell]

## Properties
As for the density: 2.77 g cm⁻³.

(9)
VASP calculation (PBE) on an optimized crystal structure of KBaAl2.

Cell: 8.3702 8.4015 3.9835 Å, 90.00 90.00 90.00°
Space group Cmmm (No. 65)
Asymmetric unit:
K 0.0000 0.0000 0.0000 [2 per cell]
Ba 0.0000 0.5000 0.0000 [2 per cell]
Al 0.2500 0.2500 0.5000 [4 per cell]

## Properties
As for the density: 2.73 g cm⁻³. The value obtained for the distance to the lowest polymorph of the same formula is 0.281 eV per atom.

(10)
VASP calculation (PBE) on an optimized crystal structure of K2BaAl.

Cell: 5.2452 5.2452 28.3753 Å, 90.00 90.00 90.00°
Space group I-42d (No. 122)
Asymmetric unit:
K 0.2191 0.2500 0.1250 [8 per cell]
Ba 0.0000 0.0000 0.5000 [4 per cell]
Al 0.0000 0.0000 0.0000 [4 per cell]

## Properties
As for the density: 2.06 g cm⁻³.

(11)
VASP calculation (PBE) on an optimized crystal structure of KBa2Al2.

Cell: 4.0126 4.0126 27.1921 Å, 90.00 90.00 90.00°
Space group I4/mmm (No. 139)
Asymmetric unit:
K 0.0000 0.0000 0.0000 [2 per cell]
Ba 0.0000 0.0000 0.3582 [4 per cell]
Al 0.0000 0.5000 0.2500 [4 per cell]

## Properties
As for the density: 2.79 g cm⁻³. The value obtained for the distance to the lowest polymorph of the same formula is 0.090 eV per atom.

(12)
VASP calculation (PBE) on an optimized crystal structure of KBa2Al.

Cell: 4.1720 5.9275 16.7606 Å, 90.00 90.00 90.00°
Space group Imm2 (No. 44)
Asymmetric unit:
K 0.0000 0.0000 0.0000 [2 per cell]
Ba 0.0000 0.0000 0.6564 [2 per cell]
Ba 0.0000 0.5000 0.8315 [2 per cell]
Al 0.0000 0.5000 0.3182 [2 per cell]

## Properties
As for the density: 2.73 g cm⁻³.

The following formation enthalpy at 0 K values (in eV per atom) correspond, in order, to the records above: 0.256; -0.126; 0.106; 0.153; 0.251; 0.199; -0.065; 0.159; 0.262; 0.314; 0.132; 0.104.
The following V values (in Å³ per cell) correspond, in order, to the records above: 645.7; 616.1; 437.3; 144.1; 552.0; 329.7; 596.1; 204.6; 280.1; 780.7; 437.8; 414.5.